Record 1
A plane-wave DFT calculation with PBE-GGA was carried out for a geometry-optimized YRu2Br structure.

Cell lengths 5.756, 5.756, 5.756 Å; angles 140.98, 140.98, 56.36 degrees
Site moments in Bohr magnetons follow the coordinates.
Fractional coordinates of all 4 atoms:
Y 0.250 0.750 0.500  -0.03
Ru 0.500 0.500 0.000  0.47
Ru 0.000 0.000 0.000  0.47
Br 0.750 0.250 0.500  0.01

Properties
* E above lowest polymorph: 0.480 eV per atom
* energy relative to the elements, uncorrected: 0.287 eV per atom
* calculated total energy: -25.54 eV/cell

=====

Record 2
A plane-wave DFT calculation with PBE-GGA was carried out for a geometry-optimized YRu2Br structure.

Cell lengths 7.562, 7.562, 6.015 Å; angles 51.05, 51.05, 90.00 degrees
Fractional coordinates of all 8 atoms:
Ru 0.187 0.625 0.250
Br 0.250 0.750 0.500
Br 0.500 0.500 0.000
Ru 0.875 0.813 0.750
Ru 0.563 0.125 0.250
Y 0.750 0.250 0.500
Y 0.000 0.000 0.000
Ru 0.375 0.437 0.750

Properties
* E above lowest polymorph: 0.719 eV per atom
* energy relative to the elements, uncorrected: 0.526 eV per atom
* calculated total energy: -49.17 eV/cell

=====

Record 3
A plane-wave DFT calculation with PBE-GGA was carried out for a geometry-optimized YRu2Br structure.

Cell lengths 4.752, 4.752, 4.752 Å; angles 60.00, 60.00, 60.00 degrees
Site moments in Bohr magnetons follow the coordinates.
Fractional coordinates of all 4 atoms:
Ru 0.000 0.000 0.000  1.11
Y 0.750 0.750 0.750  0.05
Br 0.500 0.500 0.500  0.04
Ru 0.250 0.250 0.250  1.17

Properties
* E above lowest polymorph: 0.664 eV per atom
* energy relative to the elements, uncorrected: 0.471 eV per atom
* calculated total energy: -24.81 eV/cell

=====

Record 4
A plane-wave DFT calculation with PBE-GGA was carried out for a geometry-optimized YRu2Br structure.

Cell lengths 5.455, 3.770, 3.770 Å; angles 90.00, 90.00, 90.00 degrees
Fractional coordinates of all 4 atoms:
Br 0.500 0.000 0.500
Ru 0.000 0.000 0.000
Y 0.500 0.500 0.000
Ru 0.000 0.500 0.500

Properties
* E above lowest polymorph: 0.510 eV per atom
* energy relative to the elements, uncorrected: 0.317 eV per atom
* calculated total energy: -25.42 eV/cell

=====

Record 5
A plane-wave DFT calculation with PBE-GGA was carried out for a geometry-optimized YRuBr2 structure.

Cell lengths 4.617, 5.474, 4.593 Å; angles 66.34, 87.53, 113.81 degrees
Site moments in Bohr magnetons follow the coordinates.
Fractional coordinates of all 4 atoms:
Br 0.000 0.000 0.000  0.01
Y 0.500 0.500 0.000  -0.05
Br 0.500 0.000 0.500  0.01
Ru 0.000 0.500 0.500  0.65

Properties
* E above lowest polymorph: 0.415 eV per atom
* energy relative to the elements, uncorrected: -0.202 eV per atom
* calculated total energy: -19.89 eV/cell

=====

Record 6
A plane-wave DFT calculation with PBE-GGA was carried out for a geometry-optimized YRuBr2 structure.

Cell lengths 4.687, 4.687, 9.302 Å; angles 75.41, 75.41, 90.00 degrees
Site moments in Bohr magnetons follow the coordinates.
Fractional coordinates of all 8 atoms:
Br 0.099 0.625 0.250  0.04
Y 0.250 0.750 0.500  -0.02
Ru 0.000 0.000 0.000  0.87
Br 0.651 0.125 0.250  0.03
Br 0.875 0.901 0.750  0.04
Y 0.500 0.500 0.000  -0.02
Ru 0.750 0.250 0.500  0.88
Br 0.375 0.349 0.750  0.03

Properties
* E above lowest polymorph: 0.364 eV per atom
* energy relative to the elements, uncorrected: -0.253 eV per atom
* calculated total energy: -40.19 eV/cell

=====

Record 7
A plane-wave DFT calculation with PBE-GGA was carried out for a geometry-optimized YRuBr2 structure.

Cell lengths 3.582, 3.584, 6.647 Å; angles 90.00, 90.00, 90.00 degrees
Site moments in Bohr magnetons follow the coordinates.
Fractional coordinates of all 4 atoms:
Br 0.000 0.000 0.998  0.05
Ru 0.500 0.500 0.250  1.89
Br 0.000 0.000 0.502  0.05
Y 0.500 0.500 0.750  -0.01

Properties
* E above lowest polymorph: 0.637 eV per atom
* energy relative to the elements, uncorrected: 0.019 eV per atom
* calculated total energy: -19.01 eV/cell

=====

Record 8
A plane-wave DFT calculation with PBE-GGA was carried out for a geometry-optimized YRu2Br structure.

Cell lengths 5.501, 5.501, 4.625 Å; angles 88.12, 88.12, 34.13 degrees
Fractional coordinates of all 4 atoms:
Ru 0.031 0.031 0.955
Ru 0.469 0.469 0.545
Br 0.250 0.250 0.250
Y 0.750 0.750 0.750

Properties
* E above lowest polymorph: 0.368 eV per atom
* energy relative to the elements, uncorrected: 0.175 eV per atom
* calculated total energy: -25.99 eV/cell

=====

Record 9
A plane-wave DFT calculation with PBE-GGA was carried out for a geometry-optimized YRu2Br structure.

Cell lengths 8.667, 8.667, 8.667 Å; angles 21.45, 21.45, 21.45 degrees
Fractional coordinates of all 4 atoms:
Br 0.750 0.750 0.750
Y 0.250 0.250 0.250
Ru 0.496 0.496 0.496
Ru 0.004 0.004 0.004

Properties
* E above lowest polymorph: 0.760 eV per atom
* energy relative to the elements, uncorrected: 0.566 eV per atom
* calculated total energy: -24.42 eV/cell

=====

Record 10
A plane-wave DFT calculation with PBE-GGA was carried out for a geometry-optimized YRu2Br structure.

Cell lengths 3.377, 3.377, 7.864 Å; angles 90.00, 90.00, 92.00 degrees
Fractional coordinates of all 4 atoms:
Ru 0.500 0.500 0.219
Br 0.500 0.500 0.701
Ru 0.000 0.000 0.111
Y 0.000 0.000 0.469

Properties
* E above lowest polymorph: 0.106 eV per atom
* energy relative to the elements, uncorrected: -0.088 eV per atom
* calculated total energy: -27.04 eV/cell

=====

Record 11
A plane-wave DFT calculation with PBE-GGA was carried out for a geometry-optimized YRu2Br structure.

Cell lengths 5.571, 5.571, 5.571 Å; angles 145.98, 129.65, 62.16 degrees
Fractional coordinates of all 4 atoms:
Br 0.230 0.730 0.500
Ru 0.778 0.278 0.500
Y 0.493 0.493 0.000
Ru 0.999 0.999 0.000

Properties
* E above lowest polymorph: 0.491 eV per atom
* energy relative to the elements, uncorrected: 0.298 eV per atom
* calculated total energy: -25.50 eV/cell

=====

Record 12
A plane-wave DFT calculation with PBE-GGA was carried out for a geometry-optimized YRuBr2 structure.

Cell lengths 9.592, 9.592, 9.592 Å; angles 22.17, 22.17, 22.17 degrees
Site moments in Bohr magnetons follow the coordinates.
Fractional coordinates of all 4 atoms:
Br 0.021 0.021 0.021  0.00
Ru 0.498 0.498 0.498  1.31
Y 0.759 0.759 0.759  -0.09
Br 0.222 0.222 0.222  0.19

Properties
* E above lowest polymorph: 0.183 eV per atom
* energy relative to the elements, uncorrected: -0.434 eV per atom
* calculated total energy: -20.82 eV/cell